Record 1
This record from the Alexandria database describes an optimized crystal structure of InPt2Cl2. The functional is PBE.

Properties
ΔE_f (raw) (eV/atom): 0.34
Calculated total energy (eV/cell): -33.67

Lattice parameters (Å, degrees): 4.220 4.220 11.783 90.00 90.00 90.00
Space group I4/mmm (No. 139)
Symmetry-distinct sites (fractional):
In1 0.000 0.000 0.000
Pt1 0.000 0.000 0.394
Cl1 0.000 0.500 0.250

---

Record 2
This record from the Alexandria database describes an optimized crystal structure of NiGeSb. The functional is PBE.

Properties
ΔE_f (raw) (eV/atom): -0.09
Calculated total energy (eV/cell): -29.61

Lattice parameters (Å, degrees): 3.933 5.031 6.241 81.37 71.73 89.92
Space group P1 (No. 1)
Symmetry-distinct sites (fractional):
Ni1 0.000 0.000 0.000
Ni2 0.000 0.500 0.000
Ge1 0.436 0.227 0.130
Ge2 0.565 0.773 0.870
Sb1 0.203 0.299 0.601
Sb2 0.803 0.700 0.399

---

Record 3
This record from the Alexandria database describes an optimized crystal structure of Mg2MnW3S8. The functional is PBE.

Properties
ΔE_f (raw) (eV/atom): -0.79
Calculated total energy (eV/cell): -285.83

Lattice parameters (Å, degrees): 6.8625 6.8625 19.2196 90.00 90.00 120.00
Space group R3m (No. 160, hexagonal axes)
Symmetry-distinct sites (fractional):
Mg1 0.0000 0.0000 0.0000
Mg2 0.0000 0.0000 0.1671
Mn1 0.0000 0.0000 0.5018
W1 0.2007 0.4013 0.3525
S1 0.0000 0.0000 0.2935
S2 0.0000 0.0000 0.7784
S3 0.0253 0.5126 0.2647
S4 0.1674 0.3347 0.0885

---

Record 4
This record from the Alexandria database describes an optimized crystal structure of MnCd2Pb. The functional is PBE.

Properties
Calculated total energy (eV/cell): -27.52

Lattice parameters (Å, degrees): 3.123 4.705 13.137 90.00 90.00 90.00
Space group Imm2 (No. 44)
Symmetry-distinct sites (fractional):
Mn1 0.000 0.000 0.000
Cd1 0.000 0.000 0.508
Cd2 0.000 0.500 0.681
Pb1 0.000 0.500 0.308

---

Q: Which value of calculated total energy does entry 3 give?
A: -285.83 eV/cell

---

Repeat the second record exactly.
This record from the Alexandria database describes an optimized crystal structure of NiGeSb. The functional is PBE.

Properties
ΔE_f (raw) (eV/atom): -0.09
Calculated total energy (eV/cell): -29.61

Lattice parameters (Å, degrees): 3.933 5.031 6.241 81.37 71.73 89.92
Space group P1 (No. 1)
Symmetry-distinct sites (fractional):
Ni1 0.000 0.000 0.000
Ni2 0.000 0.500 0.000
Ge1 0.436 0.227 0.130
Ge2 0.565 0.773 0.870
Sb1 0.203 0.299 0.601
Sb2 0.803 0.700 0.399